[1]
Here is a relaxed structure of KBaCd2 from Alexandria via LeMat-Bulk. Energies are from GGA-PBEsol.

Its density of states at the Fermi level is 3.9 states/eV/f.u. The formation enthalpy at 0 K comes out at -32.0 kJ/mol of formula units. The offset from the most stable computed form is 2.8 kJ/mol of atoms. As for the electronic total energy: -1.502 eV per atom.

The space group is Fm-3m (No. 225) and the conventional cell measures 8.2396, 8.2396 and 8.2396 Å, with angles of 90.00, 90.00 and 90.00 degrees. Symmetry generates all atoms from K at (0.0000, 0.0000, 0.0000), Ba at (0.0000, 0.0000, 0.5000) and Cd at (0.2500, 0.2500, 0.2500).

[2]
Here is a relaxed structure of KBaCd2 from Alexandria via LeMat-Bulk. Energies are from GGA-PBEsol.

Its density of states at the Fermi level is 4.7 states/eV/f.u. The formation enthalpy at 0 K comes out at -19.2 kJ/mol of formula units. The offset from the most stable computed form is 6.0 kJ/mol of atoms. As for the electronic total energy: -1.469 eV per atom.

The space group is I-4m2 (No. 119) and the conventional cell measures 5.5931, 5.5931 and 7.8374 Å, with angles of 90.00, 90.00 and 90.00 degrees. Symmetry generates all atoms from K at (0.0000, 0.0000, 0.0000), Ba at (0.0000, 0.5000, 0.7500), Cd at (0.0000, 0.0000, 0.5000) and Cd at (0.0000, 0.5000, 0.2500).

[3]
Here is a relaxed structure of KBaCd4 from Alexandria via LeMat-Bulk. Energies are from GGA-PBEsol.

Its density of states at the Fermi level is 3.9 states/eV/f.u. The formation enthalpy at 0 K comes out at -99.8 kJ/mol of formula units. As for the electronic total energy: -1.517 eV per atom.

The space group is F-43m (No. 216) and the conventional cell measures 8.7912, 8.7912 and 8.7912 Å, with angles of 90.00, 90.00 and 90.00 degrees. Symmetry generates all atoms from K at (0.0000, 0.0000, 0.0000), Ba at (0.2500, 0.2500, 0.2500) and Cd at (0.1257, 0.1257, 0.6257).